No. 1
DFT (PBE) results for a relaxed structure of InGa2Co.

Formation enthalpy at 0 K in eV per atom: 0.203
M_tot in Bohr magnetons per cell: 0.77
DFT total energy in Ry/atom: -0.2772

Geometry as CIF:
```
data_InGa2Co
_space_group_name_H-M_alt 'P 1'
_space_group_IT_number 1
_cell_length_a 4.1170
_cell_length_b 4.1170
_cell_length_c 9.1264
_cell_angle_alpha 76.96
_cell_angle_beta 76.96
_cell_angle_gamma 90.00
loop_
_space_group_symop_operation_xyz
'x,y,z'
loop_
_atom_site_label
_atom_site_type_symbol
_atom_site_fract_x
_atom_site_fract_y
_atom_site_fract_z
_atom_site_occupancy
Co1 Co 0.5000 0.5000 0.0000 1
Co2 Co 0.2500 0.7500 0.5000 1
Ga1 Ga 0.5580 0.1250 0.2500 1
Ga2 Ga 0.1920 0.6250 0.2500 1
Ga3 Ga 0.3750 0.4420 0.7500 1
Ga4 Ga 0.8750 0.8080 0.7500 1
In1 In 0.0000 0.0000 0.0000 1
In2 In 0.7500 0.2500 0.5000 1
```

=====

No. 2
DFT (PBE) results for a relaxed structure of In2GaCo.

Formation enthalpy at 0 K in eV per atom: 0.001
M_tot in Bohr magnetons per cell: 0.00
DFT total energy in Ry/atom: -0.2867

Geometry as CIF:
```
data_In2GaCo
_space_group_name_H-M_alt 'P 1'
_space_group_IT_number 1
_cell_length_a 9.6659
_cell_length_b 9.6659
_cell_length_c 7.2110
_cell_angle_alpha 47.92
_cell_angle_beta 47.92
_cell_angle_gamma 90.00
loop_
_space_group_symop_operation_xyz
'x,y,z'
loop_
_atom_site_label
_atom_site_type_symbol
_atom_site_fract_x
_atom_site_fract_y
_atom_site_fract_z
_atom_site_occupancy
Co1 Co 0.5000 0.5000 0.0000 1
Co2 Co 0.2500 0.7500 0.5000 1
Ga1 Ga 0.0000 0.0000 0.0000 1
Ga2 Ga 0.7500 0.2500 0.5000 1
In1 In 0.3755 0.1250 0.2500 1
In2 In 0.3745 0.6250 0.2500 1
In3 In 0.3750 0.6245 0.7500 1
In4 In 0.8750 0.6255 0.7500 1
```

=====

No. 3
DFT (PBE) results for a relaxed structure of InGaCo2.

Formation enthalpy at 0 K in eV per atom: 0.396
M_tot in Bohr magnetons per cell: 1.93
DFT total energy in Ry/atom: -0.3380

Geometry as CIF:
```
data_InGaCo2
_space_group_name_H-M_alt 'P 1'
_space_group_IT_number 1
_cell_length_a 6.7293
_cell_length_b 6.7293
_cell_length_c 5.4856
_cell_angle_alpha 52.17
_cell_angle_beta 52.17
_cell_angle_gamma 90.00
loop_
_space_group_symop_operation_xyz
'x,y,z'
loop_
_atom_site_label
_atom_site_type_symbol
_atom_site_fract_x
_atom_site_fract_y
_atom_site_fract_z
_atom_site_occupancy
Co1 Co 0.5936 0.1250 0.2500 1
Co2 Co 0.1564 0.6250 0.2500 1
Co3 Co 0.3750 0.4064 0.7500 1
Co4 Co 0.8750 0.8436 0.7500 1
Ga1 Ga 0.5000 0.5000 0.0000 1
Ga2 Ga 0.2500 0.7500 0.5000 1
In1 In 0.0000 0.0000 0.0000 1
In2 In 0.7500 0.2500 0.5000 1
```

=====

No. 4
DFT (PBE) results for a relaxed structure of In2GaCo.

Formation enthalpy at 0 K in eV per atom: 0.527
M_tot in Bohr magnetons per cell: 1.43
DFT total energy in Ry/atom: -0.2481

Geometry as CIF:
```
data_In2GaCo
_space_group_name_H-M_alt 'P 1'
_space_group_IT_number 1
_cell_length_a 3.0065
_cell_length_b 3.0065
_cell_length_c 11.0169
_cell_angle_alpha 82.16
_cell_angle_beta 82.16
_cell_angle_gamma 60.00
loop_
_space_group_symop_operation_xyz
'x,y,z'
loop_
_atom_site_label
_atom_site_type_symbol
_atom_site_fract_x
_atom_site_fract_y
_atom_site_fract_z
_atom_site_occupancy
Co1 Co 0.0000 0.0000 0.0000 1
Ga1 Ga 0.5000 0.5000 0.5000 1
In1 In 0.0804 0.0804 0.7588 1
In2 In 0.9196 0.9196 0.2412 1
```

=====

No. 5
DFT (PBE) results for a relaxed structure of InGaCo2Ir.

Formation enthalpy at 0 K in eV per atom: 1.584
M_tot in Bohr magnetons per cell: 3.05
DFT total energy in Ry/atom: -0.3075

Geometry as CIF:
```
data_InGaCo2Ir
_space_group_name_H-M_alt 'P 1'
_space_group_IT_number 1
_cell_length_a 4.6413
_cell_length_b 4.9363
_cell_length_c 4.6413
_cell_angle_alpha 90.00
_cell_angle_beta 90.00
_cell_angle_gamma 90.00
loop_
_space_group_symop_operation_xyz
'x,y,z'
loop_
_atom_site_label
_atom_site_type_symbol
_atom_site_fract_x
_atom_site_fract_y
_atom_site_fract_z
_atom_site_occupancy
Ir1 Ir 0.0000 0.5000 0.0000 1
Co1 Co 0.0000 0.0000 0.5000 1
Co2 Co 0.5000 0.0000 0.0000 1
Ga1 Ga 0.5000 0.5000 0.5000 1
In1 In 0.0000 0.0000 0.0000 1
```

=====

No. 6
DFT (PBE) results for a relaxed structure of InGaCoIr.

Formation enthalpy at 0 K in eV per atom: -0.073
M_tot in Bohr magnetons per cell: 0.37
DFT total energy in Ry/atom: -0.4047

Geometry as CIF:
```
data_InGaCoIr
_space_group_name_H-M_alt 'P 1'
_space_group_IT_number 1
_cell_length_a 4.3872
_cell_length_b 4.3872
_cell_length_c 4.3872
_cell_angle_alpha 60.00
_cell_angle_beta 60.00
_cell_angle_gamma 60.00
loop_
_space_group_symop_operation_xyz
'x,y,z'
loop_
_atom_site_label
_atom_site_type_symbol
_atom_site_fract_x
_atom_site_fract_y
_atom_site_fract_z
_atom_site_occupancy
Ir1 Ir 0.0000 0.0000 0.0000 1
Co1 Co 0.5000 0.5000 0.5000 1
Ga1 Ga 0.2500 0.2500 0.2500 1
In1 In 0.7500 0.7500 0.7500 1
```

=====

No. 7
DFT (PBE) results for a relaxed structure of KInGa2Co.

Formation enthalpy at 0 K in eV per atom: -0.103
M_tot in Bohr magnetons per cell: 0.10
DFT total energy in Ry/atom: -0.2574

Geometry as CIF:
```
data_KInGa2Co
_space_group_name_H-M_alt 'P 1'
_space_group_IT_number 1
_cell_length_a 4.7301
_cell_length_b 4.7301
_cell_length_c 5.0081
_cell_angle_alpha 90.00
_cell_angle_beta 90.00
_cell_angle_gamma 90.00
loop_
_space_group_symop_operation_xyz
'x,y,z'
loop_
_atom_site_label
_atom_site_type_symbol
_atom_site_fract_x
_atom_site_fract_y
_atom_site_fract_z
_atom_site_occupancy
K1 K 0.5000 0.5000 0.5000 1
Co1 Co 0.0000 0.0000 0.0000 1
Ga1 Ga 0.0000 0.5000 0.0000 1
Ga2 Ga 0.5000 0.0000 0.0000 1
In1 In 0.0000 0.0000 0.5000 1
```

=====

No. 8
DFT (PBE) results for a relaxed structure of KIn2GaCo.

Formation enthalpy at 0 K in eV per atom: -0.076
M_tot in Bohr magnetons per cell: 0.23
DFT total energy in Ry/atom: -0.2512

Geometry as CIF:
```
data_KIn2GaCo
_space_group_name_H-M_alt 'P 1'
_space_group_IT_number 1
_cell_length_a 5.0414
_cell_length_b 5.0414
_cell_length_c 4.7522
_cell_angle_alpha 90.00
_cell_angle_beta 90.00
_cell_angle_gamma 90.00
loop_
_space_group_symop_operation_xyz
'x,y,z'
loop_
_atom_site_label
_atom_site_type_symbol
_atom_site_fract_x
_atom_site_fract_y
_atom_site_fract_z
_atom_site_occupancy
K1 K 0.5000 0.5000 0.5000 1
Co1 Co 0.0000 0.0000 0.0000 1
Ga1 Ga 0.0000 0.0000 0.5000 1
In1 In 0.0000 0.5000 0.0000 1
In2 In 0.5000 0.0000 0.0000 1
```

=====

No. 9
DFT (PBE) results for a relaxed structure of KInGaCo2.

Formation enthalpy at 0 K in eV per atom: 0.990
M_tot in Bohr magnetons per cell: 3.31
DFT total energy in Ry/atom: -0.2370

Geometry as CIF:
```
data_KInGaCo2
_space_group_name_H-M_alt 'P 1'
_space_group_IT_number 1
_cell_length_a 5.0295
_cell_length_b 5.3067
_cell_length_c 5.0295
_cell_angle_alpha 90.00
_cell_angle_beta 90.00
_cell_angle_gamma 90.00
loop_
_space_group_symop_operation_xyz
'x,y,z'
loop_
_atom_site_label
_atom_site_type_symbol
_atom_site_fract_x
_atom_site_fract_y
_atom_site_fract_z
_atom_site_occupancy
K1 K 0.5000 0.5000 0.5000 1
Co1 Co 0.0000 0.0000 0.5000 1
Co2 Co 0.5000 0.0000 0.0000 1
Ga1 Ga 0.0000 0.5000 0.0000 1
In1 In 0.0000 0.0000 0.0000 1
```

=====

No. 10
DFT (PBE) results for a relaxed structure of La6In2GaCo.

Formation enthalpy at 0 K in eV per atom: -0.322
M_tot in Bohr magnetons per cell: 0.00
DFT total energy in Ry/atom: -0.3557

Geometry as CIF:
```
data_La6In2GaCo
_space_group_name_H-M_alt 'P 1'
_space_group_IT_number 1
_cell_length_a 6.6140
_cell_length_b 9.0589
_cell_length_c 9.0432
_cell_angle_alpha 119.95
_cell_angle_beta 133.03
_cell_angle_gamma 90.14
loop_
_space_group_symop_operation_xyz
'x,y,z'
loop_
_atom_site_label
_atom_site_type_symbol
_atom_site_fract_x
_atom_site_fract_y
_atom_site_fract_z
_atom_site_occupancy
La1 La 0.7912 0.9023 0.1544 1
La2 La 0.7902 0.6359 0.5374 1
La3 La 0.2086 0.0980 0.8458 1
La4 La 0.7903 0.2534 0.8890 1
La5 La 0.2096 0.3644 0.4612 1
La6 La 0.2095 0.7484 0.1111 1
In1 In 0.6933 0.2312 0.4620 1
In2 In 0.3088 0.7704 0.5391 1
Ga1 Ga 0.4961 0.4991 0.9973 1
Co1 Co 0.0013 0.0008 0.0007 1
```

=====

No. 11
DFT (PBE) results for a relaxed structure of LiIn2GaCo.

Formation enthalpy at 0 K in eV per atom: -0.054
M_tot in Bohr magnetons per cell: 0.00
DFT total energy in Ry/atom: -0.2616

Geometry as CIF:
```
data_LiIn2GaCo
_space_group_name_H-M_alt 'P 1'
_space_group_IT_number 1
_cell_length_a 4.9248
_cell_length_b 4.6003
_cell_length_c 4.9248
_cell_angle_alpha 90.00
_cell_angle_beta 90.00
_cell_angle_gamma 90.00
loop_
_space_group_symop_operation_xyz
'x,y,z'
loop_
_atom_site_label
_atom_site_type_symbol
_atom_site_fract_x
_atom_site_fract_y
_atom_site_fract_z
_atom_site_occupancy
Li1 Li 0.5000 0.5000 0.5000 1
Co1 Co 0.0000 0.0000 0.0000 1
Ga1 Ga 0.0000 0.5000 0.0000 1
In1 In 0.0000 0.0000 0.5000 1
In2 In 0.5000 0.0000 0.0000 1
```

=====

No. 12
DFT (PBE) results for a relaxed structure of MgInGa2Co.

Formation enthalpy at 0 K in eV per atom: -0.024
M_tot in Bohr magnetons per cell: 0.00
DFT total energy in Ry/atom: -0.2589

Geometry as CIF:
```
data_MgInGa2Co
_space_group_name_H-M_alt 'P 1'
_space_group_IT_number 1
_cell_length_a 4.5893
_cell_length_b 4.5893
_cell_length_c 4.9390
_cell_angle_alpha 90.00
_cell_angle_beta 90.00
_cell_angle_gamma 90.00
loop_
_space_group_symop_operation_xyz
'x,y,z'
loop_
_atom_site_label
_atom_site_type_symbol
_atom_site_fract_x
_atom_site_fract_y
_atom_site_fract_z
_atom_site_occupancy
Mg1 Mg 0.0000 0.0000 0.5000 1
Co1 Co 0.0000 0.0000 0.0000 1
Ga1 Ga 0.0000 0.5000 0.0000 1
Ga2 Ga 0.5000 0.0000 0.0000 1
In1 In 0.5000 0.5000 0.5000 1
```

=====

No. 13
DFT (PBE) results for a relaxed structure of InGa2CoNi.

Formation enthalpy at 0 K in eV per atom: 0.434
M_tot in Bohr magnetons per cell: 1.80
DFT total energy in Ry/atom: -0.2868

Geometry as CIF:
```
data_InGa2CoNi
_space_group_name_H-M_alt 'P 1'
_space_group_IT_number 1
_cell_length_a 4.4694
_cell_length_b 4.8947
_cell_length_c 4.4694
_cell_angle_alpha 90.00
_cell_angle_beta 90.00
_cell_angle_gamma 90.00
loop_
_space_group_symop_operation_xyz
'x,y,z'
loop_
_atom_site_label
_atom_site_type_symbol
_atom_site_fract_x
_atom_site_fract_y
_atom_site_fract_z
_atom_site_occupancy
Ni1 Ni 0.0000 0.0000 0.0000 1
Co1 Co 0.5000 0.5000 0.5000 1
Ga1 Ga 0.0000 0.0000 0.5000 1
Ga2 Ga 0.5000 0.0000 0.0000 1
In1 In 0.0000 0.5000 0.0000 1
```